[1]
First-principles (PBE-GGA) data for a geometry-optimized Sr2PdBr structure, as listed in Alexandria via LeMat-Bulk.

Structure (POSCAR):
```
Sr2PdBr
1.0
0.000 3.889 3.889
3.889 0.000 3.889
3.889 3.889 0.000
Sr Pd Br
2 1 1
direct
0.250 0.250 0.250 Sr
0.750 0.750 0.750 Sr
0.000 0.000 0.000 Pd
0.500 0.500 0.500 Br
```

Summary:
formation energy without anion corrections	-867	meV per atom
relative energy among the computed polymorphs	0.91	eV per formula unit

---

[2]
First-principles (PBE-GGA) data for a geometry-optimized Pr12Hg5Pb3 structure, as listed in Alexandria via LeMat-Bulk.

Structure (POSCAR):
```
Pr12Hg5Pb3
1.0
-9.205 9.205 9.205
9.205 -9.205 9.205
9.205 9.205 -9.205
Pr Hg Pb
48 20 12
direct
0.056 0.221 0.134 Pr
0.056 0.335 0.923 Pr
0.077 0.634 0.412 Pr
0.077 0.944 0.665 Pr
0.088 0.721 0.665 Pr
0.088 0.866 0.423 Pr
0.134 0.056 0.221 Pr
0.134 0.577 0.912 Pr
0.165 0.221 0.588 Pr
0.165 0.444 0.577 Pr
0.221 0.134 0.056 Pr
0.221 0.588 0.165 Pr
0.279 0.335 0.912 Pr
0.279 0.444 0.366 Pr
0.335 0.912 0.279 Pr
0.335 0.923 0.056 Pr
0.366 0.279 0.444 Pr
0.366 0.588 0.923 Pr
0.412 0.077 0.634 Pr
0.412 0.835 0.779 Pr
0.423 0.088 0.866 Pr
0.423 0.835 0.556 Pr
0.444 0.366 0.279 Pr
0.444 0.577 0.165 Pr
0.556 0.423 0.835 Pr
0.556 0.634 0.721 Pr
0.577 0.165 0.444 Pr
0.577 0.912 0.134 Pr
0.588 0.165 0.221 Pr
0.588 0.923 0.366 Pr
0.634 0.412 0.077 Pr
0.634 0.721 0.556 Pr
0.665 0.077 0.944 Pr
0.665 0.088 0.721 Pr
0.721 0.556 0.634 Pr
0.721 0.665 0.088 Pr
0.779 0.412 0.835 Pr
0.779 0.866 0.944 Pr
0.835 0.556 0.423 Pr
0.835 0.779 0.412 Pr
0.866 0.423 0.088 Pr
0.866 0.944 0.779 Pr
0.912 0.134 0.577 Pr
0.912 0.279 0.335 Pr
0.923 0.056 0.335 Pr
0.923 0.366 0.588 Pr
0.944 0.665 0.077 Pr
0.944 0.779 0.866 Pr
0.000 0.000 0.000 Hg
0.000 0.000 0.500 Hg
0.000 0.500 0.000 Hg
0.000 0.500 0.500 Hg
0.125 0.750 0.875 Hg
0.125 0.875 0.250 Hg
0.250 0.125 0.875 Hg
0.250 0.625 0.375 Hg
0.375 0.250 0.625 Hg
0.375 0.625 0.750 Hg
0.500 0.000 0.000 Hg
0.500 0.000 0.500 Hg
0.500 0.500 0.000 Hg
0.500 0.500 0.500 Hg
0.625 0.375 0.250 Hg
0.625 0.750 0.375 Hg
0.750 0.375 0.625 Hg
0.750 0.875 0.125 Hg
0.875 0.125 0.750 Hg
0.875 0.250 0.125 Hg
0.125 0.250 0.375 Pb
0.125 0.375 0.750 Pb
0.250 0.375 0.125 Pb
0.250 0.875 0.625 Pb
0.375 0.125 0.250 Pb
0.375 0.750 0.125 Pb
0.625 0.250 0.875 Pb
0.625 0.875 0.750 Pb
0.750 0.125 0.375 Pb
0.750 0.625 0.875 Pb
0.875 0.625 0.250 Pb
0.875 0.750 0.625 Pb
```

Summary:
VASP energy	-3.53	eV/atom

---

[3]
First-principles (PBE-GGA) data for a geometry-optimized Mo2PbAu structure, as listed in Alexandria via LeMat-Bulk.

Structure (POSCAR):
```
Mo2PbAu
1.0
4.843 0.000 0.000
0.000 4.843 0.000
0.000 0.000 3.094
Mo Pb Au
2 1 1
direct
0.000 0.500 0.000 Mo
0.500 0.000 0.000 Mo
0.000 0.000 0.500 Pb
0.500 0.500 0.500 Au
```

Summary:
VASP energy	-6.47	eV/atom

---

[4]
First-principles (PBE-GGA) data for a geometry-optimized Pm2NpS4 structure, as listed in Alexandria via LeMat-Bulk.

Structure (POSCAR):
```
Pm2NpS4
1.0
-4.146 4.149 5.860
4.146 -4.149 5.860
4.146 4.149 -5.860
Pm Np S
4 2 8
direct
0.000 0.000 0.000 Pm
0.500 0.000 0.000 Pm
0.500 0.000 0.500 Pm
0.500 0.500 0.500 Pm
0.125 0.375 0.750 Np
0.875 0.625 0.250 Np
0.259 0.241 0.483 S
0.259 0.242 0.017 S
0.259 0.776 0.017 S
0.276 0.758 0.517 S
0.724 0.242 0.483 S
0.741 0.224 0.983 S
0.741 0.758 0.983 S
0.741 0.759 0.517 S
```

Summary:
formation energy without anion corrections	-1648	meV per atom

---

[5]
First-principles (PBE-GGA) data for a geometry-optimized AgAu3I structure, as listed in Alexandria via LeMat-Bulk.

Structure (POSCAR):
```
AgAu3I
1.0
5.161 0.000 0.000
0.000 5.161 0.000
0.000 0.000 5.161
Ag Au I
1 3 1
direct
0.000 0.000 0.000 Ag
0.000 0.000 0.500 Au
0.000 0.500 0.000 Au
0.500 0.000 0.000 Au
0.500 0.500 0.500 I
```

Summary:
formation energy without anion corrections	738	meV per atom
relative energy among the computed polymorphs	0.00	eV per formula unit

---

[6]
First-principles (PBE-GGA) data for a geometry-optimized Hg2AsCl8 structure, as listed in Alexandria via LeMat-Bulk.

Structure (POSCAR):
```
Hg2AsCl8
1.0
5.217 -5.549 0.000
5.217 5.549 0.000
-0.299 0.000 6.418
Hg As Cl
2 1 8
direct
0.223 0.223 0.035 Hg
0.777 0.777 0.965 Hg
0.500 0.500 0.500 As
0.061 0.061 0.273 Cl
0.262 0.564 0.273 Cl
0.290 0.290 0.680 Cl
0.436 0.738 0.727 Cl
0.564 0.262 0.273 Cl
0.710 0.710 0.320 Cl
0.738 0.436 0.727 Cl
0.939 0.939 0.727 Cl
```

Summary:
formation energy without anion corrections	-444	meV per atom